# Tb3Nd5Tm3 | Alexandria | PBE-GGA | optimized geometry
# total DFT energy (no corrections)	-4.33	eV per atom
# ΔE to the lowest computed polymorph	0	kJ/mol of formula units
# total magnetic moment	0.000	μB/f.u.
# formation energy	3.47	eV/f.u.
data_Tb3Nd5Tm3
_chemical_formula_sum 'Tb3 Nd5 Tm3'
_cell_length_a 11.2713
_cell_length_b 11.2713
_cell_length_c 3.4527
_cell_angle_alpha 90.00
_cell_angle_beta 90.00
_cell_angle_gamma 120.00
_space_group_name_H-M_alt 'P -6 2 m'
_space_group_IT_number 189
_space_group_name_Hall 'P -6 -2'
loop_
_atom_site_label
_atom_site_type_symbol
_atom_site_fract_x
_atom_site_fract_y
_atom_site_fract_z
Tb1 Tb 0.0000 0.5964 0.0000
Nd1 Nd 0.0000 0.3377 0.5000
Nd2 Nd 0.3333 0.6667 0.5000
Tm1 Tm 0.0000 0.8410 0.5000

# Cu3PbO6 | Alexandria | PBE-GGA | optimized geometry
# formation energy without anion corrections	-0.57	eV/atom
# total DFT energy (no corrections)	-5.14	eV per atom
# ΔE to the lowest computed polymorph	0	kJ/mol of formula units
# total magnetic moment	1.170	μB/f.u.
data_Cu3PbO6
_chemical_formula_sum 'Cu6 Pb2 O12'
_cell_length_a 6.8842
_cell_length_b 9.8515
_cell_length_c 3.3286
_cell_angle_alpha 90.00
_cell_angle_beta 90.00
_cell_angle_gamma 90.00
_space_group_name_H-M_alt 'C m m m'
_space_group_IT_number 65
_space_group_name_Hall '-C 2 2'
loop_
_atom_site_label
_atom_site_type_symbol
_atom_site_fract_x
_atom_site_fract_y
_atom_site_fract_z
Cu1 Cu 0.0000 0.0000 0.0000
Cu2 Cu 0.2500 0.2500 0.5000
Pb1 Pb 0.0000 0.5000 0.0000
O1 O 0.0000 0.3440 0.5000
O2 O 0.1954 0.1283 0.0000

# Al2NiPd2 | Alexandria | PBE-GGA | optimized geometry
# total DFT energy (no corrections)	-5.28	eV per atom
# ΔE to the lowest computed polymorph	57	kJ/mol of formula units
# total magnetic moment	0.000	μB/f.u.
# formation energy	-2.74	eV/f.u.
data_Al2NiPd2
_chemical_formula_sum 'Al4 Ni2 Pd4'
_cell_length_a 7.0171
_cell_length_b 7.0171
_cell_length_c 2.9537
_cell_angle_alpha 90.00
_cell_angle_beta 90.00
_cell_angle_gamma 90.00
_space_group_name_H-M_alt 'P 4/m b m'
_space_group_IT_number 127
_space_group_name_Hall '-P 4 2ab'
loop_
_atom_site_label
_atom_site_type_symbol
_atom_site_fract_x
_atom_site_fract_y
_atom_site_fract_z
Al1 Al 0.1496 0.3504 0.0000
Ni1 Ni 0.0000 0.0000 0.0000
Pd1 Pd 0.1497 0.6497 0.5000